(1)
The following is a GGA-PBE calculation of an optimized crystal structure of CaLaTe2, from Alexandria.

Structure (extended XYZ):
```
4
Lattice="3.945 0.000 0.000 0.000 3.945 0.000 -0.573 0.000 7.853" Properties=species:S:1:pos:R:3 pbc="T T T"
Ca 0.000 0.000 0.000
La -0.286 0.000 3.927
Te 1.718 1.972 1.979
Te 1.654 1.972 5.875
```

Calculated values
Total magnetization = 0.18 μB per formula unit
Energy relative to the lowest polymorph listed for this composition = 0.738 eV per formula unit
Formation energy without anion corrections = -1.410 eV/atom
D(E_F) = 2.35 states/eV per cell
Calculated density = 5.90 g/cm3
Space group = P2/m (10)

=====

(2)
The following is a GGA-PBE calculation of an optimized crystal structure of Li2NbBr, from Alexandria.

Structure (extended XYZ):
```
8
Lattice="-3.728 3.728 2.590 3.728 -3.728 2.590 3.728 3.728 -2.590" Properties=species:S:1:pos:R:3 pbc="T T T"
Li 5.592 1.506 -0.648
Li 1.506 1.864 0.648
Li -1.864 2.222 1.943
Li 2.222 1.864 3.238
Nb 3.728 0.000 1.295
Nb 0.000 0.000 2.590
Br 0.000 0.000 0.000
Br 0.000 3.728 1.295
```

Calculated values
Total magnetization = 0.00 μB per formula unit
Energy relative to the lowest polymorph listed for this composition = 0.000 eV per formula unit
Formation energy without anion corrections = 0.320 eV/atom
D(E_F) = 5.61 states/eV per cell
Calculated density = 4.31 g/cm3
Space group = I-42d (122)

=====

(3)
The following is a GGA-PBE calculation of an optimized crystal structure of Co2TcSnB, from Alexandria.

Structure (extended XYZ):
```
5
Lattice="3.913 0.000 0.000 0.000 3.913 0.000 0.000 0.000 4.143" Properties=species:S:1:pos:R:3 pbc="T T T"
Co 0.000 1.956 0.000
Co 1.956 0.000 0.000
Tc 0.000 0.000 2.072
Sn 1.956 1.956 2.072
B 0.000 0.000 0.000
```

Calculated values
Total magnetization = 0.50 μB per formula unit
D(E_F) = 3.83 states/eV per cell
Calculated density = 9.04 g/cm3
ΔE_f = -0.0560 eV/atom
Space group = P4/mmm (123)